No. 1
VASP calculation (PBE-GGA) on ScAlPd after structural relaxation.

Summary:
The symmetry is I4mm, No. 107. The value obtained for the raw total energy is -17.48 eV per cell. The calculation puts the density of states at the Fermi level at 0.677 states/eV/atom. The formation energy from the elements comes out at -0.739 eV/atom.

Lattice parameters (Å, degrees): 5.707 5.707 5.707 147.87 147.87 46.07
Atoms (fractional coordinates):
Sc (0.000, 0.000, 0.000)
Al (0.692, 0.692, 0.000)
Pd (0.323, 0.323, 0.000)

No. 2
VASP calculation (PBE-GGA) on Sc4AlPd after structural relaxation.

Summary:
The symmetry is P4/mmm, No. 123. The value obtained for the raw total energy is -35.59 eV per cell. The calculation puts the density of states at the Fermi level at 0.999 states/eV/atom. The formation energy from the elements comes out at -0.222 eV/atom.

Lattice parameters (Å, degrees): 4.597 4.597 6.764 90.00 90.00 90.00
Atoms (fractional coordinates):
Sc (0.000, 0.500, 0.240)
Sc (0.000, 0.500, 0.760)
Sc (0.500, 0.000, 0.240)
Sc (0.500, 0.000, 0.760)
Al (0.000, 0.000, 0.500)
Pd (0.500, 0.500, 0.000)

No. 3
VASP calculation (PBE-GGA) on Sc3Al9Pd2 after structural relaxation.

Summary:
The symmetry is Immm, No. 71. The value obtained for the raw total energy is -70.90 eV per cell. The calculation puts the density of states at the Fermi level at 0.474 states/eV/atom. The formation energy from the elements comes out at -0.560 eV/atom.

Lattice parameters (Å, degrees): 7.993 7.993 7.993 149.63 104.67 83.33
Atoms (fractional coordinates):
Sc (0.000, 0.000, 0.000)
Sc (0.291, 0.291, 0.000)
Sc (0.709, 0.709, 0.000)
Al (0.014, 0.645, 0.370)
Al (0.148, 0.861, 0.287)
Al (0.275, 0.645, 0.630)
Al (0.427, 0.139, 0.287)
Al (0.500, 0.000, 0.500)
Al (0.573, 0.861, 0.713)
Al (0.725, 0.355, 0.370)
Al (0.852, 0.139, 0.713)
Al (0.986, 0.355, 0.630)
Pd (0.322, 0.500, 0.822)
Pd (0.678, 0.500, 0.178)